No. 1
Compound: HoTmTlCd
Source: the Alexandria database
Functional: PBE
Structure: optimized geometry

Structure (POSCAR):
```
HoTmTlCd
1.0
5.286 0.000 0.000
2.643 4.578 0.000
2.643 1.526 4.316
Cd Tm Ho Tl
1 1 1 1
Direct
0.000 0.000 0.000 Cd
0.250 0.250 0.250 Tm
0.750 0.750 0.750 Ho
0.500 0.500 0.500 Tl
```

Values from the calculation:
Formation enthalpy at 0 K: -0.3170 eV per atom
Density of states at the Fermi level: 4.16 states/eV per cell
Calculated volume: 104.5 Å³ per cell

No. 2
Compound: Rb2PuPdSe4
Source: the Alexandria database
Functional: PBE
Structure: optimized geometry

Structure (POSCAR):
```
Rb2PuPdSe4
1.0
6.585 0.000 0.000
3.292 7.661 0.000
3.292 0.000 12.146
Pd Rb Se Pu
2 4 8 2
Direct
0.500 0.000 0.000 Pd
0.250 0.500 0.500 Pd
0.180 0.000 0.640 Rb
0.820 0.000 0.360 Rb
0.930 0.500 0.140 Rb
0.570 0.500 0.860 Rb
0.205 0.221 0.911 Se
0.545 0.279 0.589 Se
0.176 0.279 0.411 Se
0.883 0.779 0.911 Se
0.412 0.721 0.411 Se
0.338 0.779 0.089 Se
0.574 0.221 0.089 Se
0.867 0.721 0.589 Se
0.750 0.500 0.500 Pu
0.000 0.000 0.000 Pu
```

Values from the calculation:
Formation energy without anion corrections: -0.80 eV per atom
Density of states at the Fermi level: 23.17 states/eV per cell
Calculated volume: 612.7 Å³ per cell

No. 3
Compound: Pr2MgCl
Source: the Alexandria database
Functional: PBE
Structure: optimized geometry

Structure (POSCAR):
```
Pr2MgCl
1.0
3.497 0.000 0.000
1.749 3.029 0.000
1.749 1.010 11.387
Pr Mg Cl
2 1 1
Direct
0.099 0.099 0.703 Pr
0.901 0.901 0.297 Pr
0.000 0.000 0.000 Mg
0.500 0.500 0.500 Cl
```

Values from the calculation:
Formation energy without anion corrections: -0.45 eV per atom
Density of states at the Fermi level: 4.80 states/eV per cell
Calculated volume: 120.6 Å³ per cell

No. 4
Compound: Cs2AsBr
Source: the Alexandria database
Functional: PBE
Structure: optimized geometry

Structure (POSCAR):
```
Cs2AsBr
1.0
0.000 4.452 4.452
4.452 0.000 4.452
4.452 4.452 0.000
Cs As Br
2 1 1
Direct
0.750 0.750 0.750 Cs
0.250 0.250 0.250 Cs
0.000 0.000 0.000 As
0.500 0.500 0.500 Br
```

Values from the calculation:
Formation energy without anion corrections: -0.63 eV per atom
Density of states at the Fermi level: 9.47 states/eV per cell
ΔE to the lowest computed polymorph: 0 meV per atom
Calculated volume: 176.5 Å³ per cell